(1)
DFT (GGA+U) results for a geometry-optimized VTe3O structure.

Cell lengths 5.250, 5.250, 5.250 Å; angles 90.00, 90.00, 90.00 degrees
Each line ends with the local moment (μB).
Positions (direct):
V: 0.000 0.000 0.000  -1.92
O: 0.500 0.500 0.500  1.20
Te: 0.000 0.000 0.500  0.35
Te: 0.500 0.000 0.000  0.35
Te: 0.000 0.500 0.000  0.35

## Properties
Polymorph energy (0 for the lowest one)   465 meV per atom
M_tot   0.22 μB/atom

=====

(2)
DFT (GGA+U) results for a geometry-optimized V2Te2O9 structure.

Cell lengths 14.898, 14.865, 5.024 Å; angles 80.65, 79.92, 19.44 degrees
Positions (direct):
O: 0.426 0.962 0.055
O: 0.575 0.118 0.413
O: 0.055 0.557 0.426
O: 0.815 0.469 0.942
O: 0.693 0.195 0.288
O: 0.132 0.675 0.356
O: 0.906 0.497 0.281
O: 0.315 0.685 0.315
O: 0.781 0.435 0.476
O: 0.356 0.837 0.132
O: 0.942 0.774 0.815
O: 0.413 0.894 0.575
O: 0.565 0.935 0.565
O: 0.288 0.824 0.693
O: 0.476 0.308 0.781
O: 0.281 0.316 0.906
O: 0.753 0.344 0.934
O: 0.934 0.969 0.753
V: 0.670 0.648 0.235
V: 0.602 0.580 0.803
V: 0.235 0.447 0.670
V: 0.803 0.015 0.602
Te: 0.717 0.882 0.268
Te: 0.368 0.533 0.117
Te: 0.268 0.133 0.717
Te: 0.117 0.982 0.368

## Properties
Polymorph energy (0 for the lowest one)   12 meV per atom
M_tot   0.00 μB/atom

=====

(3)
DFT (GGA+U) results for a geometry-optimized VTeO3 structure.

Cell lengths 3.930, 3.930, 3.930 Å; angles 90.00, 90.00, 90.00 degrees
Each line ends with the local moment (μB).
Positions (direct):
O: 0.500 0.000 0.000  -0.08
O: 0.000 0.500 0.000  -0.08
O: 0.000 0.000 0.500  -0.08
Te: 0.500 0.500 0.500  0.23
V: 0.000 0.000 0.000  1.55

## Properties
M_tot   0.35 μB/atom
Raw total energy   -6.01 eV/atom